(1)
An optimized crystal structure of HfHPd3, computed with PBE.

Lattice parameters (Å, degrees): 4.934 4.934 4.934 90.00 90.00 90.00
Space group Pm-3m (No. 221)
Unique sites:
Hf: 0.000 0.000 0.000 (multiplicity 1)
H: 0.500 0.500 0.500 (multiplicity 1)
Pd: 0.000 0.000 0.500 (multiplicity 3)

polymorph energy (0 for the lowest one)	7.95	eV per formula unit
total energy	-23.2	eV/f.u.
density of states at the Fermi level	4.0	states/eV per cell
magnetization	0.622	Bohr magnetons per cell



(2)
An optimized crystal structure of LaNd4Hg3, computed with PBE.

Lattice parameters (Å, degrees): 5.4297 5.4297 28.2833 90.00 90.00 120.00
Space group R-3m (No. 166, hexagonal axes)
Unique sites:
La: 0.0000 0.0000 0.0000 (multiplicity 3)
Nd: 0.0000 0.0000 0.1322 (multiplicity 6)
Nd: 0.0000 0.0000 0.3893 (multiplicity 6)
Hg: 0.0000 0.0000 0.2640 (multiplicity 6)
Hg: 0.0000 0.0000 0.5000 (multiplicity 3)

total energy	-27.3	eV/f.u.
formation energy from the elements	-294	meV/atom
density of states at the Fermi level	30.9	states/eV per cell
magnetization	0.005	Bohr magnetons per cell



(3)
An optimized crystal structure of VGe2PH, computed with PBE.

Lattice parameters (Å, degrees): 4.465 4.465 3.375 90.00 90.00 90.00
Space group P4/mmm (No. 123)
Unique sites:
V: 0.000 0.000 0.000 (multiplicity 1)
Ge: 0.000 0.500 0.500 (multiplicity 2)
P: 0.500 0.500 0.000 (multiplicity 1)
H: 0.000 0.000 0.500 (multiplicity 1)

total energy	-25.0	eV/f.u.
density of states at the Fermi level	4.3	states/eV per cell
magnetization	0.001	Bohr magnetons per cell



(4)
An optimized crystal structure of CoRe3Au, computed with PBE.

Lattice parameters (Å, degrees): 4.401 4.401 4.401 90.00 90.00 90.00
Space group Pm-3m (No. 221)
Unique sites:
Co: 0.000 0.000 0.000 (multiplicity 1)
Re: 0.000 0.000 0.500 (multiplicity 3)
Au: 0.500 0.500 0.500 (multiplicity 1)

polymorph energy (0 for the lowest one)	0.00	eV per formula unit
total energy	-39.7	eV/f.u.
formation energy from the elements	1608	meV/atom
density of states at the Fermi level	4.2	states/eV per cell
magnetization	0.000	Bohr magnetons per cell



(5)
An optimized crystal structure of KSrHF2, computed with PBE.

Lattice parameters (Å, degrees): 4.755 4.755 4.772 90.00 90.00 90.00
Space group P4/mmm (No. 123)
Unique sites:
K: 0.000 0.000 0.000 (multiplicity 1)
Sr: 0.500 0.500 0.500 (multiplicity 1)
H: 0.500 0.500 0.000 (multiplicity 1)
F: 0.000 0.500 0.500 (multiplicity 2)

total energy	-21.6	eV/f.u.
density of states at the Fermi level	0.0	states/eV per cell
magnetization	0.000	Bohr magnetons per cell



(6)
An optimized crystal structure of Zr2Ga2H, computed with PBE.

Lattice parameters (Å, degrees): 6.018 6.018 4.764 90.00 90.00 90.00
Space group P4/mbm (No. 127)
Unique sites:
Zr: 0.169 0.331 0.000 (multiplicity 4)
Ga: 0.154 0.654 0.500 (multiplicity 4)
H: 0.000 0.000 0.000 (multiplicity 2)

polymorph energy (0 for the lowest one)	0.42	eV per formula unit
total energy	-27.9	eV/f.u.
density of states at the Fermi level	5.4	states/eV per cell
magnetization	0.000	Bohr magnetons per cell



(7)
An optimized crystal structure of PuAlIn2, computed with PBE.

Lattice parameters (Å, degrees): 3.654 3.654 7.192 90.00 90.00 90.00
Space group P4/mmm (No. 123)
Unique sites:
Pu: 0.000 0.000 0.000 (multiplicity 1)
Al: 0.000 0.000 0.500 (multiplicity 1)
In: 0.500 0.500 0.285 (multiplicity 2)

total energy	-23.7	eV/f.u.
formation energy from the elements	-38	meV/atom
density of states at the Fermi level	7.3	states/eV per cell
magnetization	5.999	Bohr magnetons per cell



(8)
An optimized crystal structure of Ho7CuS5, computed with PBE.

Lattice parameters (Å, degrees): 3.862 23.305 6.654 90.00 106.77 90.00
Space group P2_1/m (No. 11)
Unique sites:
Ho: 0.038 0.250 0.073 (multiplicity 2)
Ho: 0.136 0.537 0.275 (multiplicity 4)
Ho: 0.313 0.177 0.623 (multiplicity 4)
Ho: 0.410 0.610 0.822 (multiplicity 4)
Cu: 0.297 0.750 0.596 (multiplicity 2)
S: 0.048 0.642 0.098 (multiplicity 4)
S: 0.226 0.071 0.450 (multiplicity 4)
S: 0.500 0.000 0.000 (multiplicity 2)

total energy	-77.2	eV/f.u.
energy relative to the elements, uncorrected	-20.409	eV per formula unit
density of states at the Fermi level	14.9	states/eV per cell
magnetization	0.000	Bohr magnetons per cell



(9)
An optimized crystal structure of TaCoSi, computed with PBE.

Lattice parameters (Å, degrees): 3.583 9.094 4.928 90.00 90.00 90.00
Space group Cmcm (No. 63)
Unique sites:
Ta: 0.000 0.211 0.250 (multiplicity 4)
Co: 0.000 0.500 0.000 (multiplicity 4)
Si: 0.000 0.082 0.750 (multiplicity 4)

total energy	-26.3	eV/f.u.
energy relative to the elements, uncorrected	-1.928	eV per formula unit
density of states at the Fermi level	6.7	states/eV per cell
magnetization	0.000	Bohr magnetons per cell



(10)
An optimized crystal structure of LiBP2S, computed with PBE.

Lattice parameters (Å, degrees): 3.954 3.954 4.945 90.00 90.00 90.00
Space group P4/mmm (No. 123)
Unique sites:
Li: 0.000 0.000 0.000 (multiplicity 1)
B: 0.500 0.500 0.500 (multiplicity 1)
P: 0.000 0.500 0.500 (multiplicity 2)
S: 0.500 0.500 0.000 (multiplicity 1)

polymorph energy (0 for the lowest one)	0.00	eV per formula unit
total energy	-20.9	eV/f.u.
energy relative to the elements, uncorrected	2.605	eV per formula unit
density of states at the Fermi level	2.6	states/eV per cell
magnetization	0.000	Bohr magnetons per cell



(11)
An optimized crystal structure of Ho4AlCd2In, computed with PBE.

Lattice parameters (Å, degrees): 5.2229 5.2229 25.6322 90.00 90.00 120.00
Space group R-3m (No. 166, hexagonal axes)
Unique sites:
Ho: 0.0000 0.0000 0.1224 (multiplicity 6)
Ho: 0.0000 0.0000 0.3725 (multiplicity 6)
Al: 0.0000 0.0000 0.0000 (multiplicity 3)
Cd: 0.0000 0.0000 0.2498 (multiplicity 6)
In: 0.0000 0.0000 0.5000 (multiplicity 3)

total energy	-29.7	eV/f.u.
formation energy from the elements	-378	meV/atom
density of states at the Fermi level	19.7	states/eV per cell
magnetization	0.000	Bohr magnetons per cell



(12)
An optimized crystal structure of Cs2TePdSe4, computed with PBE.

Lattice parameters (Å, degrees): 5.304 17.395 23.537 90.00 90.00 90.00
Space group Fddd (No. 70, origin choice 2)
Unique sites:
Cs: 0.125 0.125 0.312 (multiplicity 16)
Te: 0.125 0.125 0.625 (multiplicity 8)
Pd: 0.125 0.125 0.125 (multiplicity 8)
Se: 0.099 0.273 0.801 (multiplicity 32)

total energy	-27.7	eV/f.u.
energy relative to the elements, uncorrected	-3.694	eV per formula unit
density of states at the Fermi level	18.4	states/eV per cell
magnetization	0.000	Bohr magnetons per cell